# NdYSi2Os

A relaxed NdYSi2Os crystal (PBE, OQMD via LeMat-Bulk).

The structure in extended XYZ format:
```
10
Lattice="5.5696 -2.1271 0.0000 5.5696 2.1271 0.0000 -5.1370 0.0000 8.8180" Properties=species:S:1:pos:R:3 pbc="T T T"
Nd -0.7726 0.0000 1.5982
Nd 6.7747 0.0000 7.2197
Y -1.1264 0.0000 5.3555
Y 7.1286 0.0000 3.4625
Si -0.9709 0.0000 8.2438
Si 3.6145 0.0000 3.3046
Si 2.3877 0.0000 5.5133
Si 6.9730 0.0000 0.5741
Os 2.4060 0.0000 1.1194
Os 3.5962 0.0000 7.6986
```

Total energy, eV/cell: -73.91

---

# Pa

A relaxed Pa crystal (PBE, OQMD via LeMat-Bulk).

The structure in extended XYZ format:
```
2
Lattice="0.0000 3.1249 3.1249 3.1249 0.0000 3.1249 3.1249 3.1249 0.0000" Properties=species:S:1:pos:R:3 pbc="T T T"
Pa 0.7812 0.7812 0.7812
Pa 5.4687 5.4687 5.4687
```

DFT formation energy, eV/atom: 1.678

---

Values of spin magnetization, in order: 0.025; 0.008, all in μB per formula unit.